Compound: KRhSeS
Source: Alexandria via LeMat-Bulk
Functional: PBE
Structure: optimized geometry

```
KRhSeS
1.0
3.794 -0.001 0.000
-1.897 3.286 0.000
-1.896 -1.095 7.098
Rh Se S K
1 1 1 1
Direct
0.298 0.547 0.860
0.080 0.938 0.033
0.524 0.160 0.700
0.976 0.386 0.378
```

Results
Its formation energy without anion corrections is -0.72 eV per atom. The spin magnetization comes out at 0.0 μB/f.u.

Compound: TlAgOs2
Source: Alexandria via LeMat-Bulk
Functional: PBE
Structure: optimized geometry

```
TlAgOs2
1.0
-2.809 0.115 -0.575
0.187 -4.470 -1.806
-0.991 -1.848 4.472
Tl Os Ag
1 2 1
Direct
0.500 0.000 0.500
0.000 0.000 0.000
0.500 0.500 0.000
0.000 0.500 0.500
```

Results
The distance to the lowest polymorph of the same formula comes out at 1.88 eV/f.u. The spin magnetization comes out at 0.4 μB/f.u. As for the energy relative to the elements: 983.3 meV per atom.

Compound: DyMgTi
Source: Alexandria via LeMat-Bulk
Functional: PBE
Structure: optimized geometry

```
DyMgTi
1.0
5.085 0.000 0.000
2.543 5.004 0.000
2.543 0.000 5.772
Dy Mg Ti
2 2 2
Direct
0.373 0.000 0.254
0.627 0.000 0.746
0.250 0.500 0.500
0.750 0.500 0.500
0.802 0.396 0.000
0.198 0.604 0.000
```

Results
The distance to the lowest polymorph of the same formula comes out at 0.78 eV/f.u. The spin magnetization comes out at 0.0 μB/f.u. As for the energy relative to the elements: 381.0 meV per atom.

Compound: Al4Co5W
Source: Alexandria via LeMat-Bulk
Functional: PBE
Structure: optimized geometry

```
Al4Co5W
1.0
2.799 0.000 0.000
0.000 2.799 0.000
0.000 0.000 15.155
Co Al W
5 4 1
Direct
0.500 0.500 0.691
0.500 0.500 0.309
0.500 0.500 0.885
0.500 0.500 0.115
0.500 0.500 0.500
0.000 0.000 0.596
0.000 0.000 0.404
0.000 0.000 0.212
0.000 0.000 0.788
0.000 0.000 0.000
```

Results
The spin magnetization comes out at 0.0 μB/f.u. As for the energy relative to the elements: -477.1 meV per atom.

Compound: KBaBi
Source: Alexandria via LeMat-Bulk
Functional: PBE
Structure: optimized geometry

```
KBaBi
1.0
-1.974 -2.348 3.787
-0.353 -4.047 -2.693
6.047 1.696 1.067
K Bi Ba
1 1 1
Direct
0.609 0.609 0.218
0.942 0.942 0.884
0.299 0.299 0.599
```

Results
The spin magnetization comes out at 0.0 μB/f.u. As for the energy relative to the elements: -517.2 meV per atom.

Compound: Li3Er3ScTe8
Source: Alexandria via LeMat-Bulk
Functional: PBE
Structure: optimized geometry

```
Li3Er3ScTe8
1.0
8.492 0.000 0.000
-4.246 7.354 -0.029
0.000 -4.878 7.106
Er Li Te Sc
3 3 8 1
Direct
0.500 0.000 0.500
0.000 0.500 0.500
0.500 0.500 0.500
0.500 0.500 0.000
0.000 0.500 0.000
0.000 0.000 0.000
0.752 0.505 0.757
0.758 0.003 0.748
0.755 0.997 0.252
0.755 0.510 0.252
0.242 0.997 0.252
0.245 0.003 0.748
0.245 0.490 0.748
0.248 0.495 0.243
0.000 0.000 0.500
```

Results
Its formation energy without anion corrections is -1.20 eV per atom. The spin magnetization comes out at 0.0 μB/f.u.

Compound: RbNaPtF6
Source: Alexandria via LeMat-Bulk
Functional: PBE
Structure: optimized geometry

```
RbNaPtF6
1.0
5.892 0.000 0.000
0.000 5.816 0.000
0.000 -2.908 5.037
F Rb Na Pt
6 1 1 1
Direct
0.311 0.990 0.714
0.689 0.286 0.010
0.311 0.724 0.010
0.689 0.724 0.714
0.311 0.286 0.276
0.689 0.990 0.276
0.000 0.333 0.667
0.500 0.667 0.333
0.500 0.000 0.000
```

Results
Its formation energy without anion corrections is -2.13 eV per atom. The spin magnetization comes out at 0.0 μB/f.u.

Compound: ZrCu2Ir
Source: Alexandria via LeMat-Bulk
Functional: PBE
Structure: optimized geometry

```
ZrCu2Ir
1.0
4.821 0.000 -0.039
1.645 4.532 0.039
-3.214 -2.293 2.767
Cu Zr Ir
2 1 1
Direct
0.000 0.000 0.000
0.250 0.750 0.500
0.750 0.250 0.500
0.500 0.500 0.000
```

Results
The distance to the lowest polymorph of the same formula comes out at 0.25 eV/f.u. The spin magnetization comes out at 0.0 μB/f.u. As for the energy relative to the elements: -328.3 meV per atom.

Compound: La5Pr3Ho2
Source: Alexandria via LeMat-Bulk
Functional: PBE
Structure: optimized geometry

```
La5Pr3Ho2
1.0
-9.856 -2.736 -0.866
-2.110 -9.562 3.157
4.657 8.731 5.788
La Pr Ho
10 6 4
Direct
0.375 0.121 0.753
0.520 0.270 0.540
0.727 0.477 0.954
0.480 0.730 0.460
0.625 0.879 0.247
0.122 0.368 0.247
0.974 0.224 0.448
0.878 0.632 0.753
0.026 0.776 0.552
0.273 0.523 0.046
0.231 0.981 0.963
0.769 0.019 0.037
0.720 0.473 0.250
0.031 0.778 0.250
0.280 0.527 0.750
0.969 0.222 0.750
0.473 0.721 0.752
0.527 0.279 0.248
0.221 0.968 0.248
0.779 0.032 0.752
```

Results
The spin magnetization comes out at 0.0 μB/f.u. As for the energy relative to the elements: 143.4 meV per atom.

Number 1: calculated density 4.749 Mg/m³. Number 2: calculated density 16.822 Mg/m³. Number 3: calculated density 5.306 Mg/m³. Number 4: calculated density 8.201 Mg/m³. Number 5: calculated density 5.029 Mg/m³. Number 6: calculated density 5.960 Mg/m³. Number 7: calculated density 4.017 Mg/m³. Number 8: calculated density 11.273 Mg/m³. Number 9: calculated density 6.666 Mg/m³.